# Mg6AlSn (GGA-PBE, optimized geometry)
# Energy relative to the elements: -0.06 eV/atom
# ΔE to the lowest computed polymorph: 0.000 eV per atom
data_Mg6AlSn
_chemical_formula_sum 'Mg6 Al1 Sn1'
_cell_length_a 4.435
_cell_length_b 4.435
_cell_length_c 8.891
_cell_angle_alpha 90.00
_cell_angle_beta 90.00
_cell_angle_gamma 90.00
_symmetry_space_group_name_H-M 'P 4/m m m'
_symmetry_Int_Tables_number 123
_symmetry_space_group_name_Hall '-P 4 2'
loop_
_atom_site_label
_atom_site_type_symbol
_atom_site_fract_x
_atom_site_fract_y
_atom_site_fract_z
_atom_site_occupancy
Mg1 Mg 0.000 0.000 0.000 1
Mg2 Mg 0.000 0.000 0.500 1
Mg3 Mg 0.000 0.500 0.242 1
Al1 Al 0.500 0.500 0.000 1
Sn1 Sn 0.500 0.500 0.500 1